Record 1
KGePtO6: optimized geometry, PBE.

## Properties
For the total magnetization, the calculation gives 2.12 Bohr magnetons per cell. The value obtained for the density is 4768 kg/m3. The calculation puts the uncorrected formation energy at -873 meV/atom. The calculation puts the density of states at the Fermi level at 12.4 states/eV per cell. As for the uncorrected energy: -98.72 eV per cell.

The structure in CIF format:
```
data_KGePtO6
_chemical_formula_sum 'K2 Ge2 Pt2 O12'
_symmetry_space_group_name_H-M 'P 1'
_symmetry_Int_Tables_number 1
_symmetry_space_group_name_Hall 'P 1'
_cell_length_a 5.1435
_cell_length_b 5.1435
_cell_length_c 12.2470
_cell_angle_alpha 90.00
_cell_angle_beta 90.00
_cell_angle_gamma 120.00
loop_
_atom_site_label
_atom_site_type_symbol
_atom_site_fract_x
_atom_site_fract_y
_atom_site_fract_z
K1 K 0.0000 0.0000 0.0000
K2 K 0.0000 0.0000 0.5000
Ge1 Ge 0.3333 0.6667 0.2500
Ge2 Ge 0.6667 0.3333 0.7500
Pt1 Pt 0.3333 0.6667 0.7500
Pt2 Pt 0.6667 0.3333 0.2500
O1 O 0.0052 0.3796 0.1622
O2 O 0.0052 0.6256 0.3378
O3 O 0.3744 0.3796 0.3378
O4 O 0.3744 0.9948 0.1622
O5 O 0.3796 0.0052 0.6622
O6 O 0.3796 0.3744 0.8378
O7 O 0.6204 0.6256 0.1622
O8 O 0.6204 0.9948 0.3378
O9 O 0.6256 0.0052 0.8378
O10 O 0.6256 0.6204 0.6622
O11 O 0.9948 0.3744 0.6622
O12 O 0.9948 0.6204 0.8378
```

Record 2
KPuGe2O8: optimized geometry, PBE.

## Properties
For the total magnetization, the calculation gives 1.00 Bohr magnetons per cell. The value obtained for the density is 5433 kg/m3. The calculation puts the uncorrected formation energy at -1544 meV/atom. The calculation puts the density of states at the Fermi level at 6.9 states/eV per cell. As for the uncorrected energy: -82.86 eV per cell.

The structure in CIF format:
```
data_KPuGe2O8
_chemical_formula_sum 'K1 Pu1 Ge2 O8'
_symmetry_space_group_name_H-M 'P 1'
_symmetry_Int_Tables_number 1
_symmetry_space_group_name_Hall 'P 1'
_cell_length_a 6.0651
_cell_length_b 6.0651
_cell_length_c 6.0651
_cell_angle_alpha 106.31
_cell_angle_beta 106.31
_cell_angle_gamma 116.00
loop_
_atom_site_label
_atom_site_type_symbol
_atom_site_fract_x
_atom_site_fract_y
_atom_site_fract_z
K1 K 0.0000 0.0000 0.0000
Pu1 Pu 0.7500 0.2500 0.5000
Ge1 Ge 0.2500 0.7500 0.5000
Ge2 Ge 0.5000 0.5000 0.0000
O1 O 0.0501 0.3830 0.3329
O2 O 0.0501 0.7172 0.6671
O3 O 0.1378 0.3423 0.7955
O4 O 0.2828 0.9499 0.3329
O5 O 0.5468 0.3423 0.2045
O6 O 0.6170 0.9499 0.6671
O7 O 0.6577 0.4532 0.7955
O8 O 0.6577 0.8622 0.2045
```

Record 3
K4Pu3GeO12: optimized geometry, PBE.

## Properties
For the total magnetization, the calculation gives 6.00 Bohr magnetons per cell. The value obtained for the density is 6168 kg/m3. The calculation puts the uncorrected formation energy at -2260 meV/atom. The calculation puts the density of states at the Fermi level at 4.2 states/eV per cell. As for the uncorrected energy: -156.70 eV per cell.

The structure in CIF format:
```
data_K4Pu3GeO12
_chemical_formula_sum 'K4 Pu3 Ge1 O12'
_symmetry_space_group_name_H-M 'P 1'
_symmetry_Int_Tables_number 1
_symmetry_space_group_name_Hall 'P 1'
_cell_length_a 7.3878
_cell_length_b 7.3878
_cell_length_c 7.3878
_cell_angle_alpha 109.47
_cell_angle_beta 109.47
_cell_angle_gamma 109.47
loop_
_atom_site_label
_atom_site_type_symbol
_atom_site_fract_x
_atom_site_fract_y
_atom_site_fract_z
K1 K 0.0000 0.0000 0.5000
K2 K 0.0000 0.5000 0.0000
K3 K 0.5000 0.0000 0.0000
K4 K 0.5000 0.5000 0.5000
Pu1 Pu 0.0000 0.5000 0.5000
Pu2 Pu 0.5000 0.0000 0.5000
Pu3 Pu 0.5000 0.5000 0.0000
Ge1 Ge 0.0000 0.0000 0.0000
O1 O 0.0000 0.2694 0.2694
O2 O 0.0000 0.7306 0.7306
O3 O 0.2500 0.5000 0.7500
O4 O 0.2500 0.7500 0.5000
O5 O 0.2694 0.0000 0.2694
O6 O 0.2694 0.2694 0.0000
O7 O 0.5000 0.2500 0.7500
O8 O 0.5000 0.7500 0.2500
O9 O 0.7306 0.0000 0.7306
O10 O 0.7306 0.7306 0.0000
O11 O 0.7500 0.2500 0.5000
O12 O 0.7500 0.5000 0.2500
```

Record 4
KPuGeO6: optimized geometry, PBE.

## Properties
For the total magnetization, the calculation gives 2.00 Bohr magnetons per cell. The value obtained for the density is 5147 kg/m3. The calculation puts the uncorrected formation energy at -1906 meV/atom. As for the uncorrected energy: -133.90 eV per cell.

The structure in CIF format:
```
data_KPuGeO6
_chemical_formula_sum 'K2 Pu2 Ge2 O12'
_symmetry_space_group_name_H-M 'P 1'
_symmetry_Int_Tables_number 1
_symmetry_space_group_name_Hall 'P 1'
_cell_length_a 5.2447
_cell_length_b 5.2447
_cell_length_c 12.2356
_cell_angle_alpha 90.00
_cell_angle_beta 90.00
_cell_angle_gamma 120.00
loop_
_atom_site_label
_atom_site_type_symbol
_atom_site_fract_x
_atom_site_fract_y
_atom_site_fract_z
K1 K 0.0000 0.0000 0.0000
K2 K 0.0000 0.0000 0.5000
Pu1 Pu 0.3333 0.6667 0.2500
Pu2 Pu 0.6667 0.3333 0.7500
Ge1 Ge 0.3333 0.6667 0.7500
Ge2 Ge 0.6667 0.3333 0.2500
O1 O 0.0133 0.3775 0.6609
O2 O 0.0133 0.6359 0.8391
O3 O 0.3641 0.3775 0.8391
O4 O 0.3641 0.9867 0.6609
O5 O 0.3775 0.0133 0.1609
O6 O 0.3775 0.3641 0.3391
O7 O 0.6225 0.6359 0.6609
O8 O 0.6225 0.9867 0.8391
O9 O 0.6359 0.0133 0.3391
O10 O 0.6359 0.6225 0.1609
O11 O 0.9867 0.3641 0.1609
O12 O 0.9867 0.6225 0.3391
```

Record 5
KRb2GeO4: optimized geometry, PBE.

## Properties
For the total magnetization, the calculation gives 1.02 Bohr magnetons per cell. The value obtained for the density is 3440 kg/m3. The calculation puts the uncorrected formation energy at -1402 meV/atom. The calculation puts the density of states at the Fermi level at 9.4 states/eV per cell. As for the uncorrected energy: -38.70 eV per cell.

The structure in CIF format:
```
data_KRb2GeO4
_chemical_formula_sum 'K1 Rb2 Ge1 O4'
_symmetry_space_group_name_H-M 'P 1'
_symmetry_Int_Tables_number 1
_symmetry_space_group_name_Hall 'P 1'
_cell_length_a 6.0133
_cell_length_b 6.0133
_cell_length_c 6.0133
_cell_angle_alpha 108.83
_cell_angle_beta 108.83
_cell_angle_gamma 110.77
loop_
_atom_site_label
_atom_site_type_symbol
_atom_site_fract_x
_atom_site_fract_y
_atom_site_fract_z
K1 K 0.0000 0.0000 0.0000
Rb1 Rb 0.0000 0.5000 0.5000
Rb2 Rb 0.5000 0.0000 0.5000
Ge1 Ge 0.5000 0.5000 0.0000
O1 O 0.1962 0.1962 0.7130
O2 O 0.4833 0.4833 0.2870
O3 O 0.5167 0.8038 0.0000
O4 O 0.8038 0.5167 0.0000
```

Record 6
KReGeO6: optimized geometry, PBE.

## Properties
For the total magnetization, the calculation gives 0.00 Bohr magnetons per cell. The value obtained for the density is 4726 kg/m3. The calculation puts the uncorrected formation energy at -1616 meV/atom. The calculation puts the density of states at the Fermi level at 0.0 states/eV per cell. As for the uncorrected energy: -62.46 eV per cell.

The structure in CIF format:
```
data_KReGeO6
_chemical_formula_sum 'K1 Re1 Ge1 O6'
_symmetry_space_group_name_H-M 'P 1'
_symmetry_Int_Tables_number 1
_symmetry_space_group_name_Hall 'P 1'
_cell_length_a 5.1589
_cell_length_b 5.1589
_cell_length_c 6.0050
_cell_angle_alpha 90.00
_cell_angle_beta 90.00
_cell_angle_gamma 120.00
loop_
_atom_site_label
_atom_site_type_symbol
_atom_site_fract_x
_atom_site_fract_y
_atom_site_fract_z
K1 K 0.0000 0.0000 0.0000
Re1 Re 0.3333 0.6667 0.5084
Ge1 Ge 0.6667 0.3333 0.4640
O1 O 0.0101 0.6037 0.3062
O2 O 0.3917 0.0016 0.6663
O3 O 0.3963 0.4063 0.3062
O4 O 0.5937 0.9899 0.3062
O5 O 0.6099 0.6083 0.6663
O6 O 0.9984 0.3901 0.6663
```

Record 7
K2GeRhO4: optimized geometry, PBE.

## Properties
For the total magnetization, the calculation gives 2.00 Bohr magnetons per cell. The value obtained for the density is 3189 kg/m3. The calculation puts the uncorrected formation energy at -1175 meV/atom. The calculation puts the density of states at the Fermi level at 0.9 states/eV per cell. As for the uncorrected energy: -86.79 eV per cell.

The structure in CIF format:
```
data_K2GeRhO4
_chemical_formula_sum 'K4 Ge2 Rh2 O8'
_symmetry_space_group_name_H-M 'P 1'
_symmetry_Int_Tables_number 1
_symmetry_space_group_name_Hall 'P 1'
_cell_length_a 11.0855
_cell_length_b 9.5718
_cell_length_c 6.9191
_cell_angle_alpha 82.80
_cell_angle_beta 58.94
_cell_angle_gamma 38.26
loop_
_atom_site_label
_atom_site_type_symbol
_atom_site_fract_x
_atom_site_fract_y
_atom_site_fract_z
K1 K 0.0550 0.0550 0.6950
K2 K 0.3050 0.3050 0.9450
K3 K 0.6950 0.6950 0.0550
K4 K 0.9450 0.9450 0.3050
Ge1 Ge 0.3750 0.3750 0.3750
Ge2 Ge 0.6250 0.6250 0.6250
Rh1 Rh 0.1250 0.1250 0.1250
Rh2 Rh 0.8750 0.8750 0.8750
O1 O 0.0296 0.6621 0.5343
O2 O 0.2739 0.5343 0.6621
O3 O 0.3379 0.9704 0.7261
O4 O 0.4657 0.7261 0.9704
O5 O 0.5343 0.2739 0.0296
O6 O 0.6621 0.0296 0.2739
O7 O 0.7261 0.4657 0.3379
O8 O 0.9704 0.3379 0.4657
```

Record 8
KGeRh2O: optimized geometry, PBE.

## Properties
For the total magnetization, the calculation gives 1.15 Bohr magnetons per cell. The value obtained for the density is 4118 kg/m3. The calculation puts the uncorrected formation energy at 792 meV/atom. The calculation puts the density of states at the Fermi level at 9.4 states/eV per cell. As for the uncorrected energy: -21.41 eV per cell.

The structure in CIF format:
```
data_KGeRh2O
_chemical_formula_sum 'K1 Ge1 Rh2 O1'
_symmetry_space_group_name_H-M 'P 1'
_symmetry_Int_Tables_number 1
_symmetry_space_group_name_Hall 'P 1'
_cell_length_a 4.5511
_cell_length_b 4.5511
_cell_length_c 6.4932
_cell_angle_alpha 90.00
_cell_angle_beta 90.00
_cell_angle_gamma 90.00
loop_
_atom_site_label
_atom_site_type_symbol
_atom_site_fract_x
_atom_site_fract_y
_atom_site_fract_z
K1 K 0.0000 0.0000 0.0000
Ge1 Ge 0.0000 0.0000 0.5000
Rh1 Rh 0.0000 0.5000 0.5000
Rh2 Rh 0.5000 0.0000 0.5000
O1 O 0.5000 0.5000 0.0000
```

Record 9
KGe2RuO6: optimized geometry, PBE.

## Properties
For the total magnetization, the calculation gives 2.00 Bohr magnetons per cell. The value obtained for the density is 4852 kg/m3. The calculation puts the uncorrected formation energy at -1252 meV/atom. The calculation puts the density of states at the Fermi level at 6.2 states/eV per cell. As for the uncorrected energy: -123.75 eV per cell.

The structure in CIF format:
```
data_KGe2RuO6
_chemical_formula_sum 'K2 Ge4 Ru2 O12'
_symmetry_space_group_name_H-M 'P 1'
_symmetry_Int_Tables_number 1
_symmetry_space_group_name_Hall 'P 1'
_cell_length_a 7.0564
_cell_length_b 7.0564
_cell_length_c 5.2641
_cell_angle_alpha 93.20
_cell_angle_beta 93.20
_cell_angle_gamma 92.02
loop_
_atom_site_label
_atom_site_type_symbol
_atom_site_fract_x
_atom_site_fract_y
_atom_site_fract_z
K1 K 0.0780 0.9220 0.7500
K2 K 0.9220 0.0780 0.2500
Ge1 Ge 0.2078 0.4067 0.7196
Ge2 Ge 0.4067 0.2078 0.2196
Ge3 Ge 0.5933 0.7922 0.7804
Ge4 Ge 0.7922 0.5933 0.2804
Ru1 Ru 0.2925 0.7075 0.2500
Ru2 Ru 0.7075 0.2925 0.7500
O1 O 0.0046 0.7278 0.3375
O2 O 0.1795 0.6113 0.9099
O3 O 0.2722 0.9954 0.1625
O4 O 0.2923 0.4178 0.3862
O5 O 0.3887 0.8205 0.5901
O6 O 0.4178 0.2923 0.8862
O7 O 0.5822 0.7077 0.1138
O8 O 0.6113 0.1795 0.4099
O9 O 0.7077 0.5822 0.6138
O10 O 0.7278 0.0046 0.8375
O11 O 0.8205 0.3887 0.0901
O12 O 0.9954 0.2722 0.6625
```

Record 10
KGeRuO6: optimized geometry, PBE.

## Properties
For the total magnetization, the calculation gives 0.86 Bohr magnetons per cell. The value obtained for the density is 3707 kg/m3. The calculation puts the uncorrected formation energy at -1159 meV/atom. The calculation puts the density of states at the Fermi level at 2.2 states/eV per cell. As for the uncorrected energy: -55.17 eV per cell.

The structure in CIF format:
```
data_KGeRuO6
_chemical_formula_sum 'K1 Ge1 Ru1 O6'
_symmetry_space_group_name_H-M 'P 1'
_symmetry_Int_Tables_number 1
_symmetry_space_group_name_Hall 'P 1'
_cell_length_a 5.1603
_cell_length_b 5.1603
_cell_length_c 5.9977
_cell_angle_alpha 90.00
_cell_angle_beta 90.00
_cell_angle_gamma 120.00
loop_
_atom_site_label
_atom_site_type_symbol
_atom_site_fract_x
_atom_site_fract_y
_atom_site_fract_z
K1 K 0.0000 0.0000 0.0000
Ge1 Ge 0.3333 0.6667 0.5000
Ru1 Ru 0.6667 0.3333 0.5000
O1 O 0.4064 0.0021 0.6833
O2 O 0.4064 0.4043 0.3167
O3 O 0.5957 0.0021 0.3167
O4 O 0.5957 0.5936 0.6833
O5 O 0.9979 0.4043 0.6833
O6 O 0.9979 0.5936 0.3167
```

Record 11
KGeS2O8: optimized geometry, PBE.

## Properties
For the total magnetization, the calculation gives 0.00 Bohr magnetons per cell. The value obtained for the density is 3127 kg/m3. The calculation puts the uncorrected formation energy at -1370 meV/atom. The calculation puts the density of states at the Fermi level at 2.6 states/eV per cell. As for the uncorrected energy: -70.08 eV per cell.

The structure in CIF format:
```
data_KGeS2O8
_chemical_formula_sum 'K1 Ge1 S2 O8'
_symmetry_space_group_name_H-M 'P 1'
_symmetry_Int_Tables_number 1
_symmetry_space_group_name_Hall 'P 1'
_cell_length_a 5.4071
_cell_length_b 5.4071
_cell_length_c 7.0498
_cell_angle_alpha 111.70
_cell_angle_beta 111.70
_cell_angle_gamma 59.98
loop_
_atom_site_label
_atom_site_type_symbol
_atom_site_fract_x
_atom_site_fract_y
_atom_site_fract_z
K1 K 0.0000 0.0000 0.0000
Ge1 Ge 0.5000 0.5000 0.5000
S1 S 0.2117 0.2117 0.6398
S2 S 0.7883 0.7883 0.3602
O1 O 0.0636 0.6101 0.2751
O2 O 0.1394 0.1394 0.4137
O3 O 0.3903 0.3903 0.7255
O4 O 0.3899 0.9364 0.7249
O5 O 0.6101 0.0636 0.2751
O6 O 0.6097 0.6097 0.2745
O7 O 0.8606 0.8606 0.5863
O8 O 0.9364 0.3899 0.7249
```

Record 12
KGeSb2O8: optimized geometry, PBE.

## Properties
For the total magnetization, the calculation gives 1.02 Bohr magnetons per cell. The value obtained for the density is 5216 kg/m3. The calculation puts the uncorrected formation energy at -1129 meV/atom. The calculation puts the density of states at the Fermi level at 1.6 states/eV per cell. As for the uncorrected energy: -67.17 eV per cell.

The structure in CIF format:
```
data_KGeSb2O8
_chemical_formula_sum 'K1 Ge1 Sb2 O8'
_symmetry_space_group_name_H-M 'P 1'
_symmetry_Int_Tables_number 1
_symmetry_space_group_name_Hall 'P 1'
_cell_length_a 4.7687
_cell_length_b 6.7870
_cell_length_c 4.7725
_cell_angle_alpha 90.00
_cell_angle_beta 95.18
_cell_angle_gamma 90.00
loop_
_atom_site_label
_atom_site_type_symbol
_atom_site_fract_x
_atom_site_fract_y
_atom_site_fract_z
K1 K 0.0000 0.0000 0.0000
Ge1 Ge 0.0000 0.5000 0.0000
Sb1 Sb 0.5000 0.2726 0.5000
Sb2 Sb 0.5000 0.7274 0.5000
O1 O 0.1994 0.2954 0.1978
O2 O 0.1994 0.7046 0.1978
O3 O 0.2979 0.5000 0.7005
O4 O 0.3482 0.0000 0.6496
O5 O 0.6518 0.0000 0.3504
O6 O 0.7021 0.5000 0.2995
O7 O 0.8006 0.2954 0.8022
O8 O 0.8006 0.7046 0.8022
```